(1)
Entry from Alexandria via LeMat-Bulk: crystalline Zn3CCl at its relaxed geometry (PBE).

Properties
offset from the most stable computed form: 1499 meV per atom
uncorrected formation energy: 1.836 eV per atom

a = 5.008 Å, b = 5.008 Å, c = 5.008 Å
α = 90.00°, β = 90.00°, γ = 90.00°
Space group Pm-3m (No. 221)
Asymmetric unit:
1 Zn 0.000 0.000 0.500
2 C 0.500 0.500 0.500
3 Cl 0.000 0.000 0.000

(2)
Entry from Alexandria via LeMat-Bulk: crystalline Ba2MoSe5 at its relaxed geometry (PBE).

Properties
uncorrected formation energy: -1.140 eV per atom

a = 7.451 Å, b = 7.451 Å, c = 8.995 Å
α = 90.00°, β = 90.00°, γ = 90.00°
Space group I4mm (No. 107)
Asymmetric unit:
1 Ba 0.000 0.500 0.000
2 Mo 0.000 0.000 0.185
3 Se 0.000 0.000 0.933
4 Se 0.232 0.232 0.251

(3)
Entry from Alexandria via LeMat-Bulk: crystalline NaPt3O8 at its relaxed geometry (PBE).

Properties
offset from the most stable computed form: 289 meV per atom
uncorrected formation energy: -0.172 eV per atom

a = 5.6682 Å, b = 5.6682 Å, c = 6.2461 Å
α = 90.00°, β = 90.00°, γ = 120.00°
Space group P-3 (No. 147)
Asymmetric unit:
1 Na 0.0000 0.0000 0.0000
2 Pt 0.0000 0.0000 0.5000
3 Pt 0.3333 0.6667 0.5512
4 O 0.0677 0.3607 0.3622
5 O 0.3333 0.6667 0.8471

(4)
Entry from Alexandria via LeMat-Bulk: crystalline MnAgOsPt2 at its relaxed geometry (PBE).

Properties
energy of formation from the pure elements: 1.142 eV per atom

a = 4.878 Å, b = 4.878 Å, c = 4.564 Å
α = 90.00°, β = 90.00°, γ = 90.00°
Space group P4/mmm (No. 123)
Asymmetric unit:
1 Mn 0.000 0.000 0.000
2 Ag 0.500 0.500 0.000
3 Os 0.000 0.000 0.500
4 Pt 0.000 0.500 0.500

(5)
Entry from Alexandria via LeMat-Bulk: crystalline Pr2ZnCu2O6 at its relaxed geometry (PBE).

Properties
uncorrected formation energy: -1.618 eV per atom

a = 5.7640 Å, b = 5.7640 Å, c = 15.7803 Å
α = 90.00°, β = 90.00°, γ = 120.00°
Space group R-3m (No. 166, hexagonal axes)
Asymmetric unit:
1 Pr 0.0000 0.0000 0.2103
2 Zn 0.0000 0.0000 0.0000
3 Cu 0.0000 0.0000 0.4181
4 O 0.0347 0.5174 0.7591